1.
Here is a relaxed TeI4 crystal from the Alexandria database. Energies are from PBEsol.

Cell and atoms, written as POSCAR:
```
TeI4
1.0
-10.2843 7.3294 -4.8276
-9.2359 -7.3039 8.5863
2.3457 11.2647 12.1055
Te I
16 64
Cartesian
-12.7374 11.3182 12.4573
-13.3969 8.1508 9.0534
-15.5361 7.7709 13.0609
-2.6320 10.2051 8.2954
-7.4112 7.9972 2.9944
-14.5426 1.0851 7.5687
-10.2246 4.4604 3.5912
-10.5657 11.6622 8.4768
-4.4372 -0.0280 3.4069
-3.7776 3.1394 6.8107
-9.1038 6.4604 16.2736
-6.6088 -0.3720 7.3873
-9.7634 3.2930 12.8698
-6.9499 6.8298 12.2730
-8.0707 4.8298 -0.4094
-1.6384 3.5193 2.8032
-12.7644 0.8789 1.6739
-4.6337 8.1595 2.1404
-9.3614 0.5287 12.8248
-16.8383 1.6782 1.8249
-10.2961 7.5507 3.7102
-4.4101 10.4114 14.1903
-14.8447 3.8398 7.8476
-0.3363 9.6120 14.0393
-8.6269 -2.7591 12.8249
-6.2059 13.0276 6.3614
-8.3170 7.9652 -0.0398
-11.9148 6.1371 16.9545
-11.7268 -2.0107 4.2671
-7.9724 16.8116 6.0078
-5.2598 5.1532 -1.0903
-1.4839 4.1007 8.1166
-9.3621 4.3908 6.3141
-8.2100 1.3554 8.8738
-8.3978 12.6565 9.9151
-13.6477 6.1175 11.2529
-7.8132 10.7615 3.0393
-11.7923 1.0000 7.1150
-4.1337 2.2583 1.4793
-3.9722 0.9514 8.7197
-9.9681 6.5214 13.1448
-6.8784 3.7395 12.1540
-15.2826 10.0498 10.8913
-13.2023 10.3388 7.1444
-6.2014 1.9070 5.1877
-4.2218 6.8655 11.7112
-12.5408 3.1307 13.7237
-8.5476 14.0493 3.0392
-1.8919 1.2404 4.9729
-12.9528 4.4247 4.1530
-6.3527 -2.4294 9.2523
-5.3822 10.2902 8.7491
-15.6907 7.1896 7.7475
-10.9687 -1.7374 9.5027
-8.7767 -1.3662 5.9490
-10.8218 13.7197 6.6119
-1.7631 10.1721 10.9414
-7.2372 9.6618 12.5186
-2.3298 7.4504 8.0166
-11.5953 6.4933 7.7073
-3.5269 5.1728 4.6113
-6.2715 6.6540 15.2860
-9.2021 -5.5214 9.8564
-6.6441 16.3760 9.0728
-15.4115 1.1181 4.9228
-13.0408 9.0319 14.3848
-5.5792 4.7969 8.1568
-4.5982 -2.0549 5.4890
-6.5954 7.7896 5.6743
-12.5763 13.3452 10.3752
-10.9030 4.6363 0.5782
-8.8575 3.3251 15.9039
-5.4478 13.3009 11.5970
-10.5304 -5.0857 6.7913
-10.5791 3.5006 10.1898
-9.9373 1.6284 3.3456
-8.9645 9.9348 6.9904
-10.9731 9.3832 10.6765
-7.8124 6.8995 9.5500
-7.2064 4.7689 2.7193
```

Computed properties:
E_tot   -2.22 eV per atom
Polymorph energy (0 for the lowest one)   0.0 meV/atom

***

2.
Here is a relaxed Te2I crystal from the Alexandria database. Energies are from PBEsol.

Cell and atoms, written as POSCAR:
```
Te2I
1.0
4.1036 0.0000 0.0000
0.0000 13.5968 0.0000
0.0000 0.0000 15.2415
Te I
16 8
Cartesian
1.0259 3.1593 14.1565
3.0777 10.4375 1.0850
3.0777 9.9577 8.7057
1.0259 3.6391 6.5358
3.0777 1.1501 13.9500
1.0259 12.4467 1.2915
1.0259 7.9485 8.9122
3.0777 5.6483 6.3293
3.0777 0.8166 10.9856
1.0259 12.7803 4.2559
1.0259 7.6150 11.8766
3.0777 5.9819 3.3649
1.0259 2.7353 10.4634
3.0777 10.8615 4.7781
3.0777 9.5337 12.3988
1.0259 4.0631 2.8427
3.0777 5.4225 14.4376
1.0259 8.1743 0.8039
1.0259 12.2209 8.4246
3.0777 1.3759 6.8168
3.0777 5.0971 10.0586
1.0259 8.4997 5.1829
1.0259 11.8955 12.8036
3.0777 1.7013 2.4379
```

Computed properties:
E_tot   -2.98 eV per atom

***

3.
Here is a relaxed TeI4 crystal from the Alexandria database. Energies are from PBEsol.

Cell and atoms, written as POSCAR:
```
TeI4
1.0
-8.4519 3.1559 -6.5859
-1.2522 -12.6863 -4.4722
-11.6604 -5.2098 18.0437
Te I
16 64
Cartesian
-16.6488 -6.3914 8.3893
-10.8037 -13.5652 6.6977
-18.5400 -11.8582 4.5555
-12.3465 -8.2701 13.5279
-9.0180 -6.4701 -6.5423
-8.1936 -9.0532 1.4553
-6.3208 -3.6841 5.2045
-10.5608 -1.1749 0.2880
-7.0899 -0.5408 -2.5957
-14.2746 -14.1993 9.5814
-15.0437 -11.0561 1.7812
-13.1709 -5.6870 5.5304
-12.4848 -6.9738 -3.6628
-2.8245 -2.8820 2.4302
-8.8797 -7.7664 10.6485
-4.7158 -8.3488 -1.4036
-17.9152 -3.7849 7.0595
-7.3122 -9.8515 -1.4252
-19.2716 -7.6738 8.1670
-9.3458 -6.6914 0.4427
-10.9336 -4.0311 5.8862
-17.0701 -10.8250 6.6702
-5.6085 0.4325 -0.4073
-13.2224 -5.9624 -1.1254
-9.1869 -12.6220 9.2788
-5.0031 -1.2391 3.4591
-3.4493 -10.9552 -0.0738
-13.1836 -12.9144 0.7990
-9.0998 -0.0894 2.4109
-12.3916 -13.2415 11.8864
-12.9016 0.3992 1.0727
-12.4920 -6.3583 2.8563
-14.2506 -8.8800 0.2338
-12.8422 -7.4323 16.1378
-6.1416 1.5161 -4.3080
-12.0187 -8.0488 6.5430
-15.5321 -8.7945 9.2823
-8.4629 -15.1394 5.9130
-9.5398 1.2347 -1.6700
-9.9002 -11.2726 5.3673
-10.0147 -5.4067 9.7298
-11.4644 -3.4675 1.6184
-15.7561 -15.1727 7.3930
-8.5223 -7.3079 -9.1521
-17.2193 -5.3105 10.9088
-13.6031 -10.2144 3.9889
-6.6511 -11.5455 2.5441
-15.2229 -16.2562 11.2937
-5.4199 -7.5482 1.6860
-2.0929 -7.0663 -1.1813
-6.8060 -4.7642 -6.2680
-8.9730 -1.4987 -4.9007
-11.3701 -9.2814 10.5642
-7.8841 -8.7362 -5.4302
-5.2011 -2.4160 -3.4846
-14.5585 -9.9760 13.2537
-7.1139 -5.8601 6.7519
-16.1634 -12.3241 10.4703
-13.4804 -6.0039 12.4158
-8.2719 -2.7880 -0.7887
-5.8324 -5.9456 -2.2966
-9.9945 -5.4588 -3.5785
-1.7678 -0.6605 1.0323
-19.5967 -14.0796 5.9533
-16.3614 -13.5010 3.5266
-8.1421 -8.7777 8.1110
-13.0926 -11.9522 7.7744
-12.2648 -14.6508 4.5748
-15.9446 -7.1919 5.2997
-10.4309 -10.7090 1.0995
-4.2944 -3.9152 0.3154
-8.1809 -1.8257 6.1866
-12.1776 -2.1181 -2.2931
-14.7134 -3.1946 4.4416
-11.3498 -9.3334 -2.7441
-11.8247 -15.9748 8.6556
-14.0523 -4.8886 8.4109
-4.1452 -9.4297 -3.9231
-8.8726 -8.3819 4.1294
-7.7614 -4.5258 2.9968
```

Computed properties:
E_tot   -2.21 eV per atom
Polymorph energy (0 for the lowest one)   2.6 meV/atom

***

4.
Here is a relaxed TeI crystal from the Alexandria database. Energies are from PBEsol.

Cell and atoms, written as POSCAR:
```
TeI
1.0
8.1549 -0.0233 0.0118
2.0293 7.7322 0.0824
0.0423 2.3188 9.5253
I Te
8 8
Cartesian
6.2055 2.4394 0.6565
4.0210 7.5883 8.9631
8.2306 5.7942 1.7476
1.9959 4.2335 7.8720
4.0913 6.7878 5.5554
6.1352 3.2399 4.0642
2.0914 3.3587 4.3968
8.1351 6.6689 5.2228
2.1209 8.1377 1.9369
8.1056 1.8899 7.6827
4.0926 6.2522 2.8288
6.1339 3.7754 6.7908
6.0178 8.1418 1.9571
4.2087 1.8858 7.6625
2.0710 2.4868 1.7530
8.1555 7.5408 7.8666
```

Computed properties:
E_tot   -2.69 eV per atom
Polymorph energy (0 for the lowest one)   18.9 meV/atom

***

5.
Here is a relaxed TiZnTeI2 crystal from the Alexandria database. Energies are from PBEsol.

Cell and atoms, written as POSCAR:
```
TiZnTeI2
1.0
5.2679 0.0000 0.0000
0.0000 5.4702 0.0000
0.0000 0.0000 5.4702
I Zn Te Ti
2 1 1 1
Cartesian
0.0000 0.0000 2.7351
0.0000 2.7351 0.0000
2.6340 2.7351 2.7351
2.6340 0.0000 0.0000
0.0000 0.0000 0.0000
```

Computed properties:
E_tot   -3.47 eV per atom

***

6.
Here is a relaxed Tl2Te2I crystal from the Alexandria database. Energies are from PBEsol.

Cell and atoms, written as POSCAR:
```
Tl2Te2I
1.0
-5.7972 -1.0317 -1.4832
4.5761 -3.1328 -3.2771
0.7699 -5.9203 1.1089
I Tl Te
1 2 2
Cartesian
0.0000 0.0000 0.0000
-1.4824 -6.7803 -1.9193
1.0312 -3.3044 -1.7322
-2.1476 -3.6709 -1.4823
1.6964 -6.4138 -2.1692
```

Computed properties:
E_tot   -3.06 eV per atom